No. 1
Below is crystalline Mg6NiPb2 at its relaxed geometry, with properties calculated at the PBE level.

- symmetry = P-62m, No. 189
- E (eV per atom) = -2.638
- energy of formation from the pure elements (eV/atom) = -0.108

a = 8.0877 Å, b = 8.0877 Å, c = 3.5257 Å
α = 90.00°, β = 90.00°, γ = 120.00°
Fractional coordinates of all 9 atoms:
Mg  0.0000  0.3528  0.0000
Mg  0.0000  0.7607  0.5000
Mg  0.2393  0.2393  0.5000
Mg  0.3528  0.0000  0.0000
Mg  0.6472  0.6472  0.0000
Mg  0.7607  0.0000  0.5000
Ni  0.0000  0.0000  0.0000
Pb  0.3333  0.6667  0.5000
Pb  0.6667  0.3333  0.5000


No. 2
Below is crystalline Mg2NiPb at its relaxed geometry, with properties calculated at the PBE level.

- symmetry = F-43m, No. 216
- E (eV per atom) = -3.074
- energy of formation from the pure elements (eV/atom) = 0.096

a = 4.7755 Å, b = 4.7755 Å, c = 4.7755 Å
α = 60.00°, β = 60.00°, γ = 60.00°
Fractional coordinates of all 4 atoms:
Mg  0.0000  0.0000  0.0000
Mg  0.2500  0.2500  0.2500
Ni  0.5000  0.5000  0.5000
Pb  0.7500  0.7500  0.7500


No. 3
Below is crystalline Mg4NiPb2 at its relaxed geometry, with properties calculated at the PBE level.

- symmetry = I4/mmm, No. 139
- E (eV per atom) = -2.717
- energy of formation from the pure elements (eV/atom) = 0.080

a = 8.3097 Å, b = 8.3097 Å, c = 8.3097 Å
α = 146.24°, β = 146.24°, γ = 48.49°
Fractional coordinates of all 7 atoms:
Mg  0.0000  0.5000  0.5000
Mg  0.1647  0.1647  0.0000
Mg  0.5000  0.0000  0.5000
Mg  0.8353  0.8353  0.0000
Ni  0.0000  0.0000  0.0000
Pb  0.3613  0.3613  0.0000
Pb  0.6387  0.6387  0.0000


No. 4
Below is crystalline MgNiPb at its relaxed geometry, with properties calculated at the PBE level.

- symmetry = P3m1, No. 156
- E (eV per atom) = -3.602
- energy of formation from the pure elements (eV/atom) = 0.093

a = 4.5211 Å, b = 4.5211 Å, c = 3.3482 Å
α = 90.00°, β = 90.00°, γ = 120.00°
Fractional coordinates of all 3 atoms:
Mg  0.0000  0.0000  0.0000
Ni  0.6667  0.3333  0.4978
Pb  0.3333  0.6667  0.4999


No. 5
Below is crystalline Mg2NiPb at its relaxed geometry, with properties calculated at the PBE level.

- symmetry = P4mm, No. 99
- E (eV per atom) = -3.134
- energy of formation from the pure elements (eV/atom) = 0.036

a = 3.3775 Å, b = 3.3775 Å, c = 7.1083 Å
α = 90.00°, β = 90.00°, γ = 90.00°
Fractional coordinates of all 4 atoms:
Mg  0.0000  0.0000  0.0000
Mg  0.5000  0.5000  0.2694
Ni  0.0000  0.0000  0.4373
Pb  0.5000  0.5000  0.6844


No. 6
Below is crystalline Mg4NiPb at its relaxed geometry, with properties calculated at the PBE level.

- energy relative to the lowest polymorph listed for this composition (kJ/mol of formula units) = 2
- symmetry = C2/c, No. 15
- E (eV per atom) = -2.764
- energy of formation from the pure elements (eV/atom) = -0.119

a = 7.5592 Å, b = 7.5592 Å, c = 5.3070 Å
α = 100.06°, β = 100.06°, γ = 114.56°
Fractional coordinates of all 12 atoms:
Mg  0.0583  0.7285  0.9458
Mg  0.1969  0.3472  0.6362
Mg  0.2715  0.9417  0.5542
Mg  0.3472  0.1969  0.1362
Mg  0.6528  0.8031  0.8638
Mg  0.7285  0.0583  0.4458
Mg  0.8031  0.6528  0.3638
Mg  0.9417  0.2715  0.0542
Ni  0.0023  0.9977  0.7500
Ni  0.9977  0.0023  0.2500
Pb  0.3705  0.6295  0.2500
Pb  0.6295  0.3705  0.7500